The following is a GGA-PBE calculation of a geometry-optimized SmErCd3 structure, from Alexandria via LeMat-Bulk.

a b c (Å): 3.4646 29.5620 5.0026
angles (deg): 90.00 90.00 90.00
Last column: nearest neighbours and their distance in Å.
Space group Cmcm (No. 63)
Symmetry-distinct sites (fractional):
Sm  0.0000  0.0753  0.2500 (multiplicity 4)  12 Cd 3.35-3.48, 2 Sm 3.46
Er  0.0000  0.2153  0.7500 (multiplicity 4)  7 Cd 3.18-3.24, 2 Er 3.46
Cd  0.0000  0.3228  0.7500 (multiplicity 4)  2 Cd 2.98, 5 Er 3.18-3.24
Cd  0.0000  0.3773  0.2500 (multiplicity 4)  3 Cd 2.91-2.98, 2 Er 3.24
Cd  0.0000  0.4759  0.2500 (multiplicity 4)  3 Cd 2.88-2.91

**Spin magnetization**: 0.00 μB/cell
**E_form**: -300 meV per atom